First-principles (PBE) data for a geometry-optimized Rb2Dy2SbSe6 structure, as listed in Alexandria via LeMat-Bulk.

Output
**Raw formation energy**: -124.8 kJ/mol of atoms
**Symmetry**: C2/m (12)

The structure in POSCAR format:
```
Rb2Dy2SbSe6
1.0
3.593 -6.219 0.000
3.593 6.219 0.000
-2.420 0.000 8.240
Rb Dy Sb Se
2 2 1 6
direct
0.168 0.832 0.000
0.832 0.168 0.000
0.332 0.668 0.500
0.668 0.332 0.500
0.000 0.000 0.500
0.065 0.392 0.691
0.262 0.262 0.310
0.392 0.065 0.691
0.608 0.935 0.309
0.738 0.738 0.690
0.935 0.608 0.309
```